No. 1
The following is a DFT calculation (PBEsol) of crystalline ZrAl2Pb at its relaxed geometry.

Properties
Energy ... -21.42 eV per cell
Spin magnetization ... 0.0000 μB per atom

Cell: 3.097 3.097 8.907 Å, 90.00 90.00 90.00°
Sites, in units of the cell vectors:
Pb: 0.500 0.500 0.000
Al: 0.000 0.000 0.722
Al: 0.000 0.000 0.278
Zr: 0.500 0.500 0.500

---

No. 2
The following is a DFT calculation (PBEsol) of crystalline LiTlMo2 at its relaxed geometry.

Properties
Energy ... -24.99 eV per cell
E above lowest polymorph ... 256 meV/atom
Spin magnetization ... 0.0000 μB per atom

Cell: 2.755 2.755 9.479 Å, 90.00 90.00 107.88°
Sites, in units of the cell vectors:
Li: 0.500 0.500 0.000
Mo: 0.000 0.000 0.246
Mo: 0.000 0.000 0.754
Tl: 0.500 0.500 0.500